# Pr3TmGa2 (PBE, relaxed)
data_Pr3TmGa2
_cell_length_a 5.1615
_cell_length_b 9.7597
_cell_length_c 6.6667
_cell_angle_alpha 90.00
_cell_angle_beta 90.00
_cell_angle_gamma 90.00
_symmetry_space_group_name_H-M 'P m c 21'
_symmetry_Int_Tables_number 26
_symmetry_space_group_name_Hall 'P 2c -2'
loop_
_atom_site_label
_atom_site_fract_x
_atom_site_fract_y
_atom_site_fract_z
Pr1 0.0000 0.0475 0.0000
Pr2 0.0000 0.3375 0.3348
Pr3 0.5000 0.1793 0.7032
Tm1 0.5000 0.4446 0.0364
Ga1 0.0000 0.3513 0.8205
Ga2 0.5000 0.1503 0.2258
# Crystal system   orthorhombic
# Energy above the lowest structure with this stoichiometry   0.000 eV per formula unit



# PrYTmGa (PBE, relaxed)
data_PrYTmGa
_cell_length_a 7.6128
_cell_length_b 7.6128
_cell_length_c 7.6128
_cell_angle_alpha 90.00
_cell_angle_beta 90.00
_cell_angle_gamma 90.00
_symmetry_space_group_name_H-M 'F -4 3 m'
_symmetry_Int_Tables_number 216
_symmetry_space_group_name_Hall 'F -4 2 3'
loop_
_atom_site_label
_atom_site_fract_x
_atom_site_fract_y
_atom_site_fract_z
Pr1 0.0000 0.0000 0.0000
Y1 0.0000 0.0000 0.5000
Tm1 0.2500 0.2500 0.7500
Ga1 0.2500 0.2500 0.2500
# Crystal system   cubic



Calculated mass density, 7.2; 7.1 g/cm³ (same order as the records).
Calculated formation energy, -0.3874; -0.1067 eV/atom (same order as the records).